[1]
A relaxed structure of HfSn2Ru, computed with PBE.

a = 3.1100 Å, b = 3.1100 Å, c = 31.1632 Å
α = 90.00°, β = 90.00°, γ = 120.00°
Space group R-3m (No. 166, hexagonal axes)
Symmetry-distinct sites (fractional):
Hf: 0.0000 0.0000 0.0000
Sn: 0.0000 0.0000 0.4152
Ru: 0.0000 0.0000 0.5000

Computed properties:
VASP energy in eV per atom: -6.406
ΔE_f in eV/atom: 0.403
Crystal system: trigonal
Mass density in Mg/m³: 9.87



[2]
A relaxed structure of HfSnRu3, computed with PBE.

a = 4.7158 Å, b = 4.7158 Å, c = 4.7158 Å
α = 90.00°, β = 90.00°, γ = 90.00°
Space group Pm-3m (No. 221)
Symmetry-distinct sites (fractional):
Hf: 0.0000 0.0000 0.0000
Sn: 0.5000 0.5000 0.5000
Ru: 0.0000 0.5000 0.5000

Computed properties:
VASP energy in eV per atom: -7.092
ΔE_f in eV/atom: 1.265
Crystal system: cubic
Polymorph energy (0 for the lowest one) in meV/atom: 0
Mass density in Mg/m³: 9.51



[3]
A relaxed structure of Hf6Sn2Ru, computed with PBE.

a = 5.9812 Å, b = 5.9812 Å, c = 13.6771 Å
α = 90.00°, β = 90.00°, γ = 90.00°
Space group P4_2/mnm (No. 136)
Symmetry-distinct sites (fractional):
Hf: 0.1865 0.1865 0.1345
Hf: 0.1880 0.1880 0.5000
Sn: 0.0000 0.0000 0.3121
Ru: 0.0000 0.0000 0.0000

Computed properties:
VASP energy in eV per atom: -8.134
ΔE_f in eV/atom: 0.422
Crystal system: tetragonal
Mass density in Mg/m³: 9.57



[4]
A relaxed structure of Hf3SnRu, computed with PBE.

a = 5.2238 Å, b = 5.2238 Å, c = 5.2238 Å
α = 90.00°, β = 90.00°, γ = 90.00°
Space group Pm-3m (No. 221)
Symmetry-distinct sites (fractional):
Hf: 0.0000 0.0000 0.5000
Sn: 0.0000 0.0000 0.0000
Ru: 0.5000 0.5000 0.5000

Computed properties:
VASP energy in eV per atom: -7.068
ΔE_f in eV/atom: 1.560
Crystal system: cubic
Mass density in Mg/m³: 8.80



[5]
A relaxed structure of HfSn2Ru, computed with PBE.

a = 6.8612 Å, b = 6.8612 Å, c = 6.8612 Å
α = 90.00°, β = 90.00°, γ = 90.00°
Space group Fm-3m (No. 225)
Symmetry-distinct sites (fractional):
Hf: 0.0000 0.0000 0.0000
Sn: 0.2500 0.2500 0.2500
Ru: 0.0000 0.0000 0.5000

Computed properties:
VASP energy in eV per atom: -6.777
ΔE_f in eV/atom: 0.031
Crystal system: cubic
Mass density in Mg/m³: 10.63



[6]
A relaxed structure of HfTcSnRu, computed with PBE.

a = 3.3132 Å, b = 4.5126 Å, c = 4.5377 Å
α = 90.00°, β = 90.00°, γ = 90.00°
Space group Pmmm (No. 47)
Symmetry-distinct sites (fractional):
Hf: 0.0000 0.0000 0.0000
Tc: 0.5000 0.0000 0.5000
Sn: 0.0000 0.5000 0.5000
Ru: 0.5000 0.5000 0.0000

Computed properties:
VASP energy in eV per atom: -8.819
ΔE_f in eV/atom: -0.419
Crystal system: orthorhombic
Mass density in Mg/m³: 12.15